# CeSm5Er6 (PBE, relaxed)
# Total energy = -4.706 eV per atom
# Formation energy = 41 kJ/mol of formula units
# Space group = Immm (71)
data_CeSm5Er6
_cell_length_a 5.0569
_cell_length_b 9.9804
_cell_length_c 9.4190
_cell_angle_alpha 122.01
_cell_angle_beta 105.58
_cell_angle_gamma 89.99
_space_group_name_H-M_alt 'P 1'
_space_group_IT_number 1
loop_
_space_group_symop_operation_xyz
'x,y,z'
loop_
_atom_site_label
_atom_site_type_symbol
_atom_site_fract_x
_atom_site_fract_y
_atom_site_fract_z
Er1 Er 0.8344 0.5860 0.6689
Er2 Er 0.8345 0.0829 0.6689
Er3 Er 0.1655 0.9171 0.3311
Er4 Er 0.5000 0.2469 0.0000
Er5 Er 0.5000 0.7531 0.0000
Er6 Er 0.1656 0.4140 0.3311
Sm1 Sm 0.0000 0.5000 0.0000
Sm2 Sm 0.3338 0.3337 0.6674
Sm3 Sm 0.3340 0.8341 0.6682
Sm4 Sm 0.6662 0.6663 0.3326
Sm5 Sm 0.6660 0.1659 0.3318
Ce1 Ce 0.0000 0.0000 0.0000

# SrSe2NO (PBE, relaxed)
# Total energy = -3.096 eV per atom
# Formation energy without anion corrections = 1.291 eV per atom
# Space group = P4/mmm (123)
# Excess energy over the best structure of this formula in the dataset = 1003 meV per atom
data_SrSe2NO
_cell_length_a 6.1459
_cell_length_b 6.1459
_cell_length_c 5.0351
_cell_angle_alpha 90.00
_cell_angle_beta 90.00
_cell_angle_gamma 90.00
_space_group_name_H-M_alt 'P 1'
_space_group_IT_number 1
loop_
_space_group_symop_operation_xyz
'x,y,z'
loop_
_atom_site_label
_atom_site_type_symbol
_atom_site_fract_x
_atom_site_fract_y
_atom_site_fract_z
O1 O 0.5000 0.5000 0.5000
Sr1 Sr 0.0000 0.0000 0.0000
Se1 Se 0.0000 0.5000 0.0000
Se2 Se 0.5000 0.0000 0.0000
N1 N 0.0000 0.0000 0.5000

# LiAc2Hg7 (PBE, relaxed)
# Total energy = -1.383 eV per atom
# Formation energy = -153 kJ/mol of formula units
# Space group = Fm-3m (225)
data_LiAc2Hg7
_cell_length_a 7.3871
_cell_length_b 7.3871
_cell_length_c 7.3871
_cell_angle_alpha 60.00
_cell_angle_beta 60.00
_cell_angle_gamma 60.00
_space_group_name_H-M_alt 'P 1'
_space_group_IT_number 1
loop_
_space_group_symop_operation_xyz
'x,y,z'
loop_
_atom_site_label
_atom_site_type_symbol
_atom_site_fract_x
_atom_site_fract_y
_atom_site_fract_z
Hg1 Hg 0.2329 0.7671 0.2329
Hg2 Hg 0.7671 0.2329 0.7671
Hg3 Hg 0.2329 0.7671 0.7671
Hg4 Hg 0.7671 0.2329 0.2329
Hg5 Hg 0.5000 0.5000 0.5000
Hg6 Hg 0.2329 0.2329 0.7671
Hg7 Hg 0.7671 0.7671 0.2329
Ac1 Ac 0.2500 0.2500 0.2500
Ac2 Ac 0.7500 0.7500 0.7500
Li1 Li 0.0000 0.0000 0.0000